1.
ScNiPdO4 | GGA+U | optimized geometry

The raw total energy is -6.43 eV per atom. The density of states at the Fermi level comes out at 0.30 states/eV per atom.

The structure belongs to space group Imma (No. 74); the cell edges are 6.2596, 6.7700 and 7.6655 Å and the angles 90.00°, 90.00° and 90.00°. Symmetry generates all atoms from Sc at (0.2500, 0.2500, 0.2500), Ni at (0.0000, 0.2500, 0.6708), Pd at (0.0000, 0.0000, 0.0000), O at (0.0000, 0.0397, 0.2636) and O at (0.2203, 0.2500, 0.9708).



2.
NiPdSe2O8 | GGA+U | optimized geometry

The raw total energy is -4.99 eV per atom. The density of states at the Fermi level comes out at 0.00 states/eV per atom.

The structure belongs to space group P-3m1 (No. 164); the cell edges are 5.5114, 5.5114 and 6.2285 Å and the angles 90.00°, 90.00° and 120.00°. Symmetry generates all atoms from Ni at (0.0000, 0.0000, 0.0000), Pd at (0.0000, 0.0000, 0.5000), Se at (0.3333, 0.6667, 0.1620), O at (0.1625, 0.3249, 0.2443) and O at (0.3333, 0.6667, 0.9011).